Entry from Alexandria: Pm6In2Ga after structural relaxation (PBE).

calculated volume: 30.53 Å³/atom
energy of formation: -0.336 eV per atom

a = 4.4549 Å, b = 8.4397 Å, c = 8.4387 Å
α = 120.00°, β = 90.00°, γ = 90.00°
With the nearest neighbours (Å) after each atom.
Element x y z (fractional)
Pm: 0.0000 0.2544 0.0000  2 Ga 3.09, 2 In 3.20
In: 0.0000 0.6667 0.3334  9 Pm 3.20-3.40
Pm: 0.0000 0.9999 0.2542  2 Ga 3.09, 2 In 3.20
Pm: 0.5000 0.5982 0.0000  1 Ga 3.39, 4 In 3.40, 6 Pm 3.66-3.71
Pm: 0.0000 0.7457 0.7458  2 Ga 3.09, 2 In 3.20
Pm: 0.5000 0.4016 0.4016  1 Ga 3.39, 4 In 3.40, 6 Pm 3.66-3.71
Pm: 0.5000 0.0000 0.5984  1 Ga 3.39, 4 In 3.40, 6 Pm 3.66-3.71
Ga: 0.5000 0.0001 0.0000  9 Pm 3.09-3.39
In: 0.0000 0.3333 0.6666  9 Pm 3.20-3.40

=====

Entry from Alexandria: SnBiB2H after structural relaxation (PBE).

electronic total energy: -16.56 eV/f.u.
calculated volume: 16.29 Å³/atom

a = 4.5203 Å, b = 3.9851 Å, c = 4.5203 Å
α = 90.00°, β = 90.00°, γ = 90.00°
With the nearest neighbours (Å) after each atom.
Element x y z (fractional)
Sn: 0.5000 0.5000 0.5000  8 B 3.01, 4 Bi 3.20
Bi: 0.0000 0.5000 0.0000  2 H 1.99
B: 0.0000 0.0000 0.5000  2 H 2.26
B: 0.5000 0.0000 0.0000  2 H 2.26
H: 0.0000 0.0000 0.0000  2 Bi 1.99

=====

Entry from Alexandria: CaCd9Ag2 after structural relaxation (PBE).

calculated volume: 22.73 Å³/atom
energy of formation: -0.129 eV per atom

a = 7.6583 Å, b = 9.2686 Å, c = 9.2686 Å
α = 80.17°, β = 65.60°, γ = 65.60°
With the nearest neighbours (Å) after each atom.
Element x y z (fractional)
Ag: 0.8750 0.2500 0.2500  10 Cd 2.91-3.13
Cd: 0.0000 0.0000 0.0000  4 Ag 3.13, 8 Cd 3.19
Cd: 0.1500 0.1779 0.4189  6 Cd 2.88-3.19, 2 Ag 2.91-2.92
Cd: 0.3189 0.0811 0.6779  6 Cd 2.88-3.19, 2 Ag 2.91-2.92
Ca: 0.5000 0.0000 0.0000  18 Cd 3.63-3.86
Cd: 0.6000 0.3221 0.0811  6 Cd 2.88-3.19, 2 Ag 2.91-2.92
Ca: 0.2500 0.5000 0.5000  18 Cd 3.63-3.86
Ag: 0.8750 0.7500 0.2500  10 Cd 2.91-3.13
Cd: 0.7500 0.5000 0.5000  4 Ag 3.13, 8 Cd 3.19
Cd: 0.4311 0.8221 0.4189  6 Cd 2.88-3.19, 2 Ag 2.91-2.92
Cd: 0.7468 0.8221 0.5811  6 Cd 2.88-3.19, 2 Ag 2.91-2.92
Cd: 0.6000 0.0811 0.3221  6 Cd 2.88-3.19, 2 Ag 2.91-2.92
Ag: 0.8750 0.2500 0.7500  10 Cd 2.91-3.13
Cd: 0.0779 0.9189 0.3221  6 Cd 2.88-3.19, 2 Ag 2.91-2.92
Cd: 0.7468 0.5811 0.8221  6 Cd 2.88-3.19, 2 Ag 2.91-2.92
Cd: 0.6721 0.1779 0.5811  6 Cd 2.88-3.19, 2 Ag 2.91-2.92
Ag: 0.3750 0.7500 0.7500  10 Cd 2.91-3.13
Cd: 0.4311 0.4189 0.8221  6 Cd 2.88-3.19, 2 Ag 2.91-2.92
Cd: 0.6721 0.5811 0.1779  6 Cd 2.88-3.19, 2 Ag 2.91-2.92
Cd: 0.1500 0.4189 0.1779  6 Cd 2.88-3.19, 2 Ag 2.91-2.92
Cd: 0.3189 0.6779 0.0811  6 Cd 2.88-3.19, 2 Ag 2.91-2.92
Cd: 0.0032 0.6779 0.9189  6 Cd 2.88-3.19, 2 Ag 2.91-2.92
Cd: 0.0032 0.9189 0.6779  6 Cd 2.88-3.19, 2 Ag 2.91-2.92
Cd: 0.0779 0.3221 0.9189  6 Cd 2.88-3.19, 2 Ag 2.91-2.92

=====

Entry from Alexandria: Ca43Al16Pb13 after structural relaxation (PBE).

calculated volume: 30.83 Å³/atom
energy of formation: -0.425 eV per atom

a = 11.6281 Å, b = 11.6281 Å, c = 20.1076 Å
α = 73.19°, β = 73.19°, γ = 60.00°
With the nearest neighbours (Å) after each atom.
Element x y z (fractional)
Ca: 0.5556 0.0717 0.8171  3 Al 3.26-3.29, 3 Pb 3.28-3.40
Pb: 0.6396 0.6396 0.6396  9 Ca 3.31-3.65
Pb: 0.8562 0.4328 0.8547  9 Ca 3.25-3.44
Al: 0.2871 0.2871 0.9043  3 Al 2.69-2.73
Ca: 0.5000 0.5000 0.5000  12 Ca 3.89-3.99
Ca: 0.5000 0.1656 0.5000  2 Al 3.21, 2 Pb 3.31
Al: 0.7880 0.0204 0.4036  3 Al 2.70-2.72
Ca: 0.9443 0.9443 0.6868  3 Pb 3.25-3.38, 3 Al 3.27-3.28
Pb: 0.3604 0.9189 0.3604  9 Ca 3.31-3.65
Al: 0.4037 0.4037 0.7890  3 Al 2.69
Al: 0.9796 0.2120 0.5964  3 Al 2.70-2.72
Ca: 0.0000 0.6812 0.0000  2 Al 3.23, 2 Pb 3.38
Pb: 0.8562 0.8562 0.8547  9 Ca 3.25-3.44
Ca: 0.0557 0.5755 0.3132  3 Pb 3.25-3.38, 3 Al 3.27-3.28
Ca: 0.5755 0.0557 0.3132  3 Pb 3.25-3.38, 3 Al 3.27-3.28
Ca: 0.8149 0.8149 0.5552  3 Al 3.27, 3 Pb 3.37
Al: 0.4785 0.7129 0.0957  3 Al 2.69-2.73
Pb: 0.3604 0.3604 0.3604  9 Ca 3.31-3.65
Al: 0.2120 0.2120 0.5964  3 Al 2.70-2.72
Ca: 0.1656 0.5000 0.5000  2 Al 3.21, 2 Pb 3.31
Al: 0.7129 0.7129 0.0957  3 Al 2.69-2.73
Pb: 0.5672 0.1438 0.1453  9 Ca 3.25-3.44
Al: 0.7129 0.4785 0.0957  3 Al 2.69-2.73
Al: 0.2120 0.9796 0.5964  3 Al 2.70-2.72
Ca: 0.4444 0.4444 0.1829  3 Al 3.26-3.29, 3 Pb 3.28-3.40
Ca: 0.1851 0.1851 0.4448  3 Al 3.27, 3 Pb 3.37
Ca: 0.0557 0.0557 0.3132  3 Pb 3.25-3.38, 3 Al 3.27-3.28
Ca: 0.3288 0.6697 0.6727  2 Al 3.18-3.21, 2 Pb 3.33
Pb: 0.0811 0.6396 0.6396  9 Ca 3.31-3.65
Pb: 0.4328 0.8562 0.8547  9 Ca 3.25-3.44
Al: 0.2871 0.5215 0.9043  3 Al 2.69-2.73
Ca: 0.3288 0.3288 0.6727  2 Al 3.18-3.21, 2 Pb 3.33
Al: 0.5963 0.5963 0.2110  3 Al 2.69
Pb: 0.1438 0.5672 0.1453  9 Ca 3.25-3.44
Ca: 0.1656 0.8344 0.5000  2 Al 3.21, 2 Pb 3.31
Ca: 0.3147 0.3147 0.0560  3 Al 3.28, 3 Pb 3.31, 1 Ca 3.63
Ca: 0.6853 0.6853 0.9440  3 Al 3.28, 3 Pb 3.31, 1 Ca 3.63
Pb: 0.1438 0.1438 0.1453  9 Ca 3.25-3.44
Ca: 0.3188 0.0000 0.0000  2 Al 3.23, 2 Pb 3.38
Ca: 0.3303 0.6712 0.3273  2 Al 3.18-3.21, 2 Pb 3.33
Ca: 0.6812 0.0000 0.0000  2 Al 3.23, 2 Pb 3.38
Al: 0.0953 0.0953 0.7141  3 Al 2.72
Ca: 0.6697 0.3288 0.6727  2 Al 3.18-3.21, 2 Pb 3.33
Ca: 0.6712 0.3303 0.3273  2 Al 3.18-3.21, 2 Pb 3.33
Ca: 0.2508 0.2508 0.2477  6 Pb 3.44-3.65, 8 Ca 3.63-3.74
Pb: 0.9189 0.3604 0.3604  9 Ca 3.31-3.65
Ca: 0.9443 0.4245 0.6868  3 Pb 3.25-3.38, 3 Al 3.27-3.28
Ca: 0.8442 0.8442 0.1546  2 Al 3.24-3.25, 3 Pb 3.36-3.60
Pb: 0.6396 0.0811 0.6396  9 Ca 3.31-3.65
Al: 0.7880 0.7880 0.4036  3 Al 2.70-2.72
Ca: 0.5556 0.5556 0.8171  3 Al 3.26-3.29, 3 Pb 3.28-3.40
Ca: 0.7492 0.7492 0.7523  6 Pb 3.44-3.65, 8 Ca 3.63-3.74
Ca: 0.6812 0.3188 0.0000  2 Al 3.23, 2 Pb 3.38
Al: 0.5215 0.2871 0.9043  3 Al 2.69-2.73
Ca: 0.8344 0.5000 0.5000  2 Al 3.21, 2 Pb 3.31
Ca: 0.4245 0.9443 0.6868  3 Pb 3.25-3.38, 3 Al 3.27-3.28
Ca: 0.4444 0.9283 0.1829  3 Al 3.26-3.29, 3 Pb 3.28-3.40
Pb: 0.0000 0.0000 0.0000  12 Ca 3.60-3.71
Ca: 0.3188 0.6812 0.0000  2 Al 3.23, 2 Pb 3.38
Ca: 0.1558 0.1558 0.8454  2 Al 3.24-3.25, 3 Pb 3.36-3.60
Al: 0.9047 0.9047 0.2859  3 Al 2.72
Ca: 0.1558 0.8431 0.8454  2 Al 3.24-3.25, 3 Pb 3.36-3.60
Al: 0.0204 0.7880 0.4036  3 Al 2.70-2.72
Ca: 0.5000 0.8344 0.5000  2 Al 3.21, 2 Pb 3.31
Ca: 0.1569 0.8442 0.1546  2 Al 3.24-3.25, 3 Pb 3.36-3.60
Ca: 0.0000 0.3188 0.0000  2 Al 3.23, 2 Pb 3.38
Ca: 0.6712 0.6712 0.3273  2 Al 3.18-3.21, 2 Pb 3.33
Ca: 0.0717 0.5556 0.8171  3 Al 3.26-3.29, 3 Pb 3.28-3.40
Ca: 0.8431 0.1558 0.8454  2 Al 3.24-3.25, 3 Pb 3.36-3.60
Ca: 0.9283 0.4444 0.1829  3 Al 3.26-3.29, 3 Pb 3.28-3.40
Ca: 0.8344 0.1656 0.5000  2 Al 3.21, 2 Pb 3.31
Ca: 0.8442 0.1569 0.1546  2 Al 3.24-3.25, 3 Pb 3.36-3.60

=====

Entry from Alexandria: La2PrThN4 after structural relaxation (PBE).

ΔE_f (raw): -11.43 eV per formula unit
calculated volume: 18.07 Å³/atom

a = 3.7119 Å, b = 6.4128 Å, c = 6.4337 Å
α = 109.32°, β = 90.00°, γ = 90.00°
With the nearest neighbours (Å) after each atom.
Element x y z (fractional)
Th: 0.0000 0.0000 0.0000  6 N 2.53-2.55
La: 0.0000 0.5000 0.5000  6 N 2.70-2.71
N: 0.0000 0.7570 0.2406  1 Th 2.53, 2 Pr 2.62, 3 La 2.63-2.71
N: 0.0000 0.2430 0.7594  1 Th 2.53, 2 Pr 2.62, 3 La 2.63-2.71
N: 0.5000 0.2361 0.2344  2 Th 2.55, 1 Pr 2.61, 3 La 2.63-2.70
N: 0.5000 0.7639 0.7656  2 Th 2.55, 1 Pr 2.61, 3 La 2.63-2.70
Pr: 0.5000 0.5000 0.0000  6 N 2.61-2.62
La: 0.5000 0.0000 0.5000  6 N 2.63

=====

Entry from Alexandria: Ba2ZnInHg6 after structural relaxation (PBE).

calculated volume: 32.48 Å³/atom
energy of formation: -0.215 eV per atom

a = 7.7041 Å, b = 7.7042 Å, c = 7.9906 Å
α = 58.92°, β = 58.94°, γ = 89.82°
With the nearest neighbours (Å) after each atom.
Element x y z (fractional)
Hg: 0.7403 0.2597 0.0000  1 Zn 2.61, 1 In 2.82
Ba: 0.7494 0.2506 0.5000  12 Hg 3.74-4.00
Ba: 0.2506 0.7494 0.5000  12 Hg 3.74-4.00
Hg: 0.2597 0.7403 0.0000  1 Zn 2.61, 1 In 2.82
Hg: 0.7404 0.7404 0.9997  1 Zn 2.62, 1 In 2.83
In: 0.0000 0.0000 0.0000  6 Hg 2.82-2.85
Hg: 0.7394 0.7394 0.5197  1 Zn 2.64, 1 In 2.85
Hg: 0.2606 0.2606 0.4803  1 Zn 2.64, 1 In 2.85
Hg: 0.2596 0.2596 0.0003  1 Zn 2.62, 1 In 2.83
Zn: 0.5000 0.5000 0.0000  6 Hg 2.61-2.64

=====

Entry from Alexandria: YHo2TcN4 after structural relaxation (PBE).

ΔE_f (raw): -8.83 eV per formula unit
calculated volume: 14.18 Å³/atom

a = 3.4021 Å, b = 6.0232 Å, c = 11.5450 Å
α = 90.00°, β = 90.00°, γ = 106.40°
With the nearest neighbours (Å) after each atom.
Element x y z (fractional)
N: 0.7363 0.4727 0.8702  1 Tc 2.05
N: 0.2637 0.5273 0.3702  1 Tc 2.05
Tc: 0.1333 0.2667 0.2500  4 N 1.96-2.05
Ho: 0.6316 0.2632 0.0393  5 N 2.30-2.51
Y: 0.1321 0.2642 0.7500  6 N 2.50-2.70
Ho: 0.6316 0.2632 0.4607  5 N 2.30-2.51
N: 0.0000 0.0000 0.0000  4 Ho 2.33
N: 0.0000 0.0000 0.5000  4 Ho 2.33
N: 0.7363 0.4727 0.6298  1 Tc 2.05
Ho: 0.3684 0.7368 0.9607  5 N 2.30-2.51
Ho: 0.3684 0.7368 0.5393  5 N 2.30-2.51
N: 0.2637 0.5273 0.1298  1 Tc 2.05
Tc: 0.8667 0.7333 0.7500  4 N 1.96-2.05
N: 0.4507 0.9015 0.7500  2 Tc 1.96
N: 0.5493 0.0985 0.2500  2 Tc 1.96
Y: 0.8679 0.7358 0.2500  6 N 2.50-2.70

=====

Entry from Alexandria: FeIrRu2 after structural relaxation (PBE).

calculated volume: 13.59 Å³/atom
energy of formation: 0.045 eV per atom

a = 4.6593 Å, b = 4.6593 Å, c = 4.6593 Å
α = 132.25°, β = 132.25°, γ = 69.84°
With the nearest neighbours (Å) after each atom.
Element x y z (fractional)
Ru: 0.2500 0.7500 0.5000  4 Ir 2.67, 4 Fe 2.68, 4 Ru 2.68
Fe: 0.5000 0.5000 0.0000  8 Ru 2.67-2.68, 4 Ir 2.68
Ir: 0.7500 0.2500 0.5000  8 Ru 2.67-2.68, 4 Fe 2.68
Ru: 0.0000 0.0000 0.0000  4 Fe 2.67, 4 Ru 2.68, 4 Ir 2.68

=====

Entry from Alexandria: Pm4GeIrBr2 after structural relaxation (PBE).

ΔE_f (raw): -8.64 eV per formula unit
calculated volume: 29.20 Å³/atom

a = 4.1598 Å, b = 7.8022 Å, c = 7.5388 Å
α = 72.71°, β = 90.00°, γ = 90.00°
With the nearest neighbours (Å) after each atom.
Element x y z (fractional)
Ir: 0.5000 0.5000 0.0000  6 Pm 2.81-2.82
Br: 0.0000 0.0000 0.0000  6 Pm 3.27
Br: 0.5000 0.0000 0.5000  6 Pm 3.37-3.39
Pm: 0.0000 0.6983 0.7785  2 Ir 2.82, 1 Ge 2.96
Ge: 0.0000 0.5000 0.5000  6 Pm 2.93-2.96
Pm: 0.0000 0.3017 0.2215  2 Ir 2.82, 1 Ge 2.96
Pm: 0.5000 0.2970 0.7488  1 Ir 2.81, 2 Ge 2.93
Pm: 0.5000 0.7030 0.2512  1 Ir 2.81, 2 Ge 2.93

=====

Entry from Alexandria: La3TaCo after structural relaxation (PBE).

calculated volume: 29.27 Å³/atom
energy of formation: 0.546 eV per atom

a = 5.2700 Å, b = 5.2700 Å, c = 5.2700 Å
α = 90.00°, β = 90.00°, γ = 90.00°
With the nearest neighbours (Å) after each atom.
Element x y z (fractional)
La: 0.5000 0.0000 0.0000  2 Co 2.63
Co: 0.0000 0.0000 0.0000  6 La 2.63
La: 0.0000 0.0000 0.5000  2 Co 2.63
La: 0.0000 0.5000 0.0000  2 Co 2.63
Ta: 0.5000 0.5000 0.5000  12 La 3.73

=====

| no. | total magnetization (μB/f.u.) |
| --- | --- |
| 1 | 2.6 |
| 2 | 0.0 |
| 3 | 0.0 |
| 4 | 0.0 |
| 5 | 0.0 |
| 6 | 0.0 |
| 7 | 0.0 |
| 8 | 2.2 |
| 9 | 0.0 |
| 10 | 2.8 |